#A
AlIrPt3 | PBEsol | relaxed

Output
* space-group type: Pm-3m
* DOS at the Fermi energy: 7.72 states/eV per cell

```
data_AlIrPt3
_chemical_formula_sum 'Al1 Ir1 Pt3'
_symmetry_space_group_name_H-M 'P 1'
_symmetry_Int_Tables_number 1
_cell_length_a 4.772
_cell_length_b 4.772
_cell_length_c 4.772
_cell_angle_alpha 90.00
_cell_angle_beta 90.00
_cell_angle_gamma 90.00
loop_
_symmetry_equiv_pos_as_xyz
'x,y,z'
loop_
_atom_site_label
_atom_site_type_symbol
_atom_site_fract_x
_atom_site_fract_y
_atom_site_fract_z
_atom_site_occupancy
Pt1 Pt 0.500 0.000 0.000 1
Pt2 Pt 0.000 0.500 0.000 1
Pt3 Pt 0.000 0.000 0.500 1
Ir1 Ir 0.000 0.000 0.000 1
Al1 Al 0.500 0.500 0.500 1
```

#B
AlIrPt3 | PBEsol | relaxed

Output
* space-group type: Pm-3m
* DOS at the Fermi energy: 5.48 states/eV per cell

```
data_AlIrPt3
_chemical_formula_sum 'Al1 Ir1 Pt3'
_symmetry_space_group_name_H-M 'P 1'
_symmetry_Int_Tables_number 1
_cell_length_a 4.406
_cell_length_b 4.406
_cell_length_c 4.406
_cell_angle_alpha 90.00
_cell_angle_beta 90.00
_cell_angle_gamma 90.00
loop_
_symmetry_equiv_pos_as_xyz
'x,y,z'
loop_
_atom_site_label
_atom_site_type_symbol
_atom_site_fract_x
_atom_site_fract_y
_atom_site_fract_z
_atom_site_occupancy
Pt1 Pt 0.000 0.500 0.000 1
Pt2 Pt 0.000 0.000 0.500 1
Pt3 Pt 0.500 0.000 0.000 1
Al1 Al 0.000 0.000 0.000 1
Ir1 Ir 0.500 0.500 0.500 1
```

Quick one: most stable of them? #B

#A
Al2IrRh | PBEsol | relaxed

Output
* space-group type: F-43m
* DOS at the Fermi energy: 4.62 states/eV per cell

```
data_Al2IrRh
_chemical_formula_sum 'Al2 Ir1 Rh1'
_symmetry_space_group_name_H-M 'P 1'
_symmetry_Int_Tables_number 1
_cell_length_a 4.304
_cell_length_b 4.304
_cell_length_c 4.304
_cell_angle_alpha 60.00
_cell_angle_beta 60.00
_cell_angle_gamma 60.00
loop_
_symmetry_equiv_pos_as_xyz
'x,y,z'
loop_
_atom_site_label
_atom_site_type_symbol
_atom_site_fract_x
_atom_site_fract_y
_atom_site_fract_z
_atom_site_occupancy
Al1 Al 0.750 0.750 0.750 1
Al2 Al 0.000 0.000 0.000 1
Ir1 Ir 0.500 0.500 0.500 1
Rh1 Rh 0.250 0.250 0.250 1
```

#B
Al2IrRh | PBEsol | relaxed

Output
* space-group type: Fm-3m
* DOS at the Fermi energy: 1.13 states/eV per cell

```
data_Al2IrRh
_chemical_formula_sum 'Al2 Ir1 Rh1'
_symmetry_space_group_name_H-M 'P 1'
_symmetry_Int_Tables_number 1
_cell_length_a 4.215
_cell_length_b 4.215
_cell_length_c 4.215
_cell_angle_alpha 60.00
_cell_angle_beta 60.00
_cell_angle_gamma 60.00
loop_
_symmetry_equiv_pos_as_xyz
'x,y,z'
loop_
_atom_site_label
_atom_site_type_symbol
_atom_site_fract_x
_atom_site_fract_y
_atom_site_fract_z
_atom_site_occupancy
Ir1 Ir 0.500 0.500 0.500 1
Al1 Al 0.250 0.250 0.250 1
Al2 Al 0.750 0.750 0.750 1
Rh1 Rh 0.000 0.000 0.000 1
```

#C
Al2IrRh | PBEsol | relaxed

Output
* space-group type: C2/m
* DOS at the Fermi energy: 2.34 states/eV per cell

```
data_Al2IrRh
_chemical_formula_sum 'Al2 Ir1 Rh1'
_symmetry_space_group_name_H-M 'P 1'
_symmetry_Int_Tables_number 1
_cell_length_a 2.834
_cell_length_b 4.319
_cell_length_c 4.898
_cell_angle_alpha 101.12
_cell_angle_beta 90.00
_cell_angle_gamma 109.16
loop_
_symmetry_equiv_pos_as_xyz
'x,y,z'
loop_
_atom_site_label
_atom_site_type_symbol
_atom_site_fract_x
_atom_site_fract_y
_atom_site_fract_z
_atom_site_occupancy
Al1 Al 0.750 0.500 0.748 1
Al2 Al 0.250 0.500 0.252 1
Ir1 Ir 0.000 0.000 0.500 1
Rh1 Rh 0.500 0.000 0.000 1
```

Quick one: most stable of them? #B

#A
Al2SiIr | PBEsol | relaxed

Output
* space-group type: F-43m
* DOS at the Fermi energy: 1.45 states/eV per cell

```
data_Al2SiIr
_chemical_formula_sum 'Al2 Si1 Ir1'
_symmetry_space_group_name_H-M 'P 1'
_symmetry_Int_Tables_number 1
_cell_length_a 4.308
_cell_length_b 4.308
_cell_length_c 4.308
_cell_angle_alpha 60.00
_cell_angle_beta 60.00
_cell_angle_gamma 60.00
loop_
_symmetry_equiv_pos_as_xyz
'x,y,z'
loop_
_atom_site_label
_atom_site_type_symbol
_atom_site_fract_x
_atom_site_fract_y
_atom_site_fract_z
_atom_site_occupancy
Ir1 Ir 0.500 0.500 0.500 1
Al1 Al 0.000 0.000 0.000 1
Al2 Al 0.250 0.250 0.250 1
Si1 Si 0.750 0.750 0.750 1
```

#B
Al2SiIr | PBEsol | relaxed

Output
* space-group type: Pmm2
* DOS at the Fermi energy: 1.43 states/eV per cell

```
data_Al2SiIr
_chemical_formula_sum 'Al2 Si1 Ir1'
_symmetry_space_group_name_H-M 'P 1'
_symmetry_Int_Tables_number 1
_cell_length_a 2.868
_cell_length_b 3.684
_cell_length_c 5.308
_cell_angle_alpha 90.00
_cell_angle_beta 90.00
_cell_angle_gamma 90.00
loop_
_symmetry_equiv_pos_as_xyz
'x,y,z'
loop_
_atom_site_label
_atom_site_type_symbol
_atom_site_fract_x
_atom_site_fract_y
_atom_site_fract_z
_atom_site_occupancy
Al1 Al 0.500 0.500 0.261 1
Al2 Al 0.000 0.000 0.991 1
Ir1 Ir 0.000 0.000 0.494 1
Si1 Si 0.500 0.500 0.754 1
```

Quick one: most stable of them? #B

#A
TaAl2Ir | PBEsol | relaxed

Output
* space-group type: P4/mmm
* DOS at the Fermi energy: 1.06 states/eV per cell

```
data_TaAl2Ir
_chemical_formula_sum 'Ta1 Al2 Ir1'
_symmetry_space_group_name_H-M 'P 1'
_symmetry_Int_Tables_number 1
_cell_length_a 2.912
_cell_length_b 2.912
_cell_length_c 6.998
_cell_angle_alpha 90.00
_cell_angle_beta 90.00
_cell_angle_gamma 90.00
loop_
_symmetry_equiv_pos_as_xyz
'x,y,z'
loop_
_atom_site_label
_atom_site_type_symbol
_atom_site_fract_x
_atom_site_fract_y
_atom_site_fract_z
_atom_site_occupancy
Al1 Al 0.000 0.000 0.780 1
Al2 Al 0.000 0.000 0.220 1
Ir1 Ir 0.500 0.500 0.000 1
Ta1 Ta 0.500 0.500 0.500 1
```

#B
TaAl2Ir | PBEsol | relaxed

Output
* space-group type: P4mm
* DOS at the Fermi energy: 1.12 states/eV per cell

```
data_TaAl2Ir
_chemical_formula_sum 'Ta1 Al2 Ir1'
_symmetry_space_group_name_H-M 'P 1'
_symmetry_Int_Tables_number 1
_cell_length_a 3.038
_cell_length_b 3.038
_cell_length_c 6.469
_cell_angle_alpha 90.00
_cell_angle_beta 90.00
_cell_angle_gamma 90.00
loop_
_symmetry_equiv_pos_as_xyz
'x,y,z'
loop_
_atom_site_label
_atom_site_type_symbol
_atom_site_fract_x
_atom_site_fract_y
_atom_site_fract_z
_atom_site_occupancy
Al1 Al 0.500 0.500 0.262 1
Al2 Al 0.000 0.000 0.013 1
Ta1 Ta 0.500 0.500 0.755 1
Ir1 Ir 0.000 0.000 0.470 1
```

Quick one: most stable of them? #A

#A
Al2TcIr | PBEsol | relaxed

Output
* space-group type: C2/m
* DOS at the Fermi energy: 2.62 states/eV per cell

```
data_Al2TcIr
_chemical_formula_sum 'Al2 Tc1 Ir1'
_symmetry_space_group_name_H-M 'P 1'
_symmetry_Int_Tables_number 1
_cell_length_a 2.761
_cell_length_b 4.355
_cell_length_c 5.011
_cell_angle_alpha 99.36
_cell_angle_beta 90.00
_cell_angle_gamma 108.48
loop_
_symmetry_equiv_pos_as_xyz
'x,y,z'
loop_
_atom_site_label
_atom_site_type_symbol
_atom_site_fract_x
_atom_site_fract_y
_atom_site_fract_z
_atom_site_occupancy
Al1 Al 0.747 0.494 0.745 1
Al2 Al 0.253 0.506 0.255 1
Ir1 Ir 0.000 0.000 0.500 1
Tc1 Tc 0.500 0.000 0.000 1
```

#B
Al2TcIr | PBEsol | relaxed

Output
* space-group type: P4/mmm
* DOS at the Fermi energy: 2.80 states/eV per cell

```
data_Al2TcIr
_chemical_formula_sum 'Al2 Tc1 Ir1'
_symmetry_space_group_name_H-M 'P 1'
_symmetry_Int_Tables_number 1
_cell_length_a 2.911
_cell_length_b 4.311
_cell_length_c 4.311
_cell_angle_alpha 90.00
_cell_angle_beta 90.00
_cell_angle_gamma 90.00
loop_
_symmetry_equiv_pos_as_xyz
'x,y,z'
loop_
_atom_site_label
_atom_site_type_symbol
_atom_site_fract_x
_atom_site_fract_y
_atom_site_fract_z
_atom_site_occupancy
Ir1 Ir 0.500 0.500 0.500 1
Al1 Al 0.000 0.500 0.000 1
Al2 Al 0.000 0.000 0.500 1
Tc1 Tc 0.500 0.000 0.000 1
```

Quick one: most stable of them? #B

#A
Al2TcIr | PBEsol | relaxed

Output
* space-group type: I-42d
* DOS at the Fermi energy: 8.58 states/eV per cell

```
data_Al2TcIr
_chemical_formula_sum 'Al4 Tc2 Ir2'
_symmetry_space_group_name_H-M 'P 1'
_symmetry_Int_Tables_number 1
_cell_length_a 5.482
_cell_length_b 5.482
_cell_length_c 5.482
_cell_angle_alpha 104.15
_cell_angle_beta 104.15
_cell_angle_gamma 120.73
loop_
_symmetry_equiv_pos_as_xyz
'x,y,z'
loop_
_atom_site_label
_atom_site_type_symbol
_atom_site_fract_x
_atom_site_fract_y
_atom_site_fract_z
_atom_site_occupancy
Ir1 Ir 0.000 0.000 0.000 1
Ir2 Ir 0.250 0.750 0.500 1
Al1 Al 0.889 0.875 0.514 1
Al2 Al 0.361 0.375 0.486 1
Al3 Al 0.125 0.639 0.014 1
Al4 Al 0.625 0.111 0.986 1
Tc1 Tc 0.500 0.500 0.000 1
Tc2 Tc 0.750 0.250 0.500 1
```

#B
Al2TcIr | PBEsol | relaxed

Output
* space-group type: Fm-3m
* DOS at the Fermi energy: 3.40 states/eV per cell

```
data_Al2TcIr
_chemical_formula_sum 'Al2 Tc1 Ir1'
_symmetry_space_group_name_H-M 'P 1'
_symmetry_Int_Tables_number 1
_cell_length_a 4.242
_cell_length_b 4.242
_cell_length_c 4.242
_cell_angle_alpha 60.00
_cell_angle_beta 60.00
_cell_angle_gamma 60.00
loop_
_symmetry_equiv_pos_as_xyz
'x,y,z'
loop_
_atom_site_label
_atom_site_type_symbol
_atom_site_fract_x
_atom_site_fract_y
_atom_site_fract_z
_atom_site_occupancy
Al1 Al 0.250 0.250 0.250 1
Al2 Al 0.750 0.750 0.750 1
Tc1 Tc 0.500 0.500 0.500 1
Ir1 Ir 0.000 0.000 0.000 1
```

Quick one: most stable of them? #B

#A
Al2TcIr | PBEsol | relaxed

Output
* space-group type: R-3m
* DOS at the Fermi energy: 3.97 states/eV per cell

```
data_Al2TcIr
_chemical_formula_sum 'Al2 Tc1 Ir1'
_symmetry_space_group_name_H-M 'P 1'
_symmetry_Int_Tables_number 1
_cell_length_a 2.805
_cell_length_b 2.805
_cell_length_c 8.442
_cell_angle_alpha 80.44
_cell_angle_beta 80.44
_cell_angle_gamma 60.00
loop_
_symmetry_equiv_pos_as_xyz
'x,y,z'
loop_
_atom_site_label
_atom_site_type_symbol
_atom_site_fract_x
_atom_site_fract_y
_atom_site_fract_z
_atom_site_occupancy
Al1 Al 0.249 0.249 0.254 1
Al2 Al 0.751 0.751 0.746 1
Ir1 Ir 0.500 0.500 0.500 1
Tc1 Tc 0.000 0.000 0.000 1
```

#B
Al2TcIr | PBEsol | relaxed

Output
* space-group type: Pmmm
* DOS at the Fermi energy: 3.17 states/eV per cell

```
data_Al2TcIr
_chemical_formula_sum 'Al2 Tc1 Ir1'
_symmetry_space_group_name_H-M 'P 1'
_symmetry_Int_Tables_number 1
_cell_length_a 2.909
_cell_length_b 4.103
_cell_length_c 4.744
_cell_angle_alpha 90.00
_cell_angle_beta 90.00
_cell_angle_gamma 90.00
loop_
_symmetry_equiv_pos_as_xyz
'x,y,z'
loop_
_atom_site_label
_atom_site_type_symbol
_atom_site_fract_x
_atom_site_fract_y
_atom_site_fract_z
_atom_site_occupancy
Al1 Al 0.500 0.000 0.500 1
Al2 Al 0.000 0.000 0.000 1
Tc1 Tc 0.000 0.500 0.500 1
Ir1 Ir 0.500 0.500 0.000 1
```

Quick one: most stable of them? #A

#A
AlTeIr2 | PBEsol | relaxed

Output
* space-group type: R-3m
* DOS at the Fermi energy: 2.04 states/eV per cell

```
data_AlTeIr2
_chemical_formula_sum 'Al1 Te1 Ir2'
_symmetry_space_group_name_H-M 'P 1'
_symmetry_Int_Tables_number 1
_cell_length_a 2.980
_cell_length_b 2.980
_cell_length_c 8.565
_cell_angle_alpha 79.98
_cell_angle_beta 79.98
_cell_angle_gamma 60.00
loop_
_symmetry_equiv_pos_as_xyz
'x,y,z'
loop_
_atom_site_label
_atom_site_type_symbol
_atom_site_fract_x
_atom_site_fract_y
_atom_site_fract_z
_atom_site_occupancy
Al1 Al 0.000 0.000 0.000 1
Te1 Te 0.500 0.500 0.500 1
Ir1 Ir 0.743 0.743 0.770 1
Ir2 Ir 0.257 0.257 0.230 1
```

#B
AlTeIr2 | PBEsol | relaxed

Output
* space-group type: Cmmm
* DOS at the Fermi energy: 1.61 states/eV per cell

```
data_AlTeIr2
_chemical_formula_sum 'Al1 Te1 Ir2'
_symmetry_space_group_name_H-M 'P 1'
_symmetry_Int_Tables_number 1
_cell_length_a 3.028
_cell_length_b 4.649
_cell_length_c 4.649
_cell_angle_alpha 101.37
_cell_angle_beta 90.00
_cell_angle_gamma 90.00
loop_
_symmetry_equiv_pos_as_xyz
'x,y,z'
loop_
_atom_site_label
_atom_site_type_symbol
_atom_site_fract_x
_atom_site_fract_y
_atom_site_fract_z
_atom_site_occupancy
Al1 Al 0.500 0.500 0.500 1
Ir1 Ir 0.000 0.000 0.500 1
Ir2 Ir 0.000 0.500 0.000 1
Te1 Te 0.500 0.000 0.000 1
```

Quick one: most stable of them? #A